No. 1
Density functional theory data (PBE-GGA) for a geometry-optimized NaMgPt structure.

The structure in CIF format:
```
data_NaMgPt
_cell_length_a 5.8277
_cell_length_b 5.8277
_cell_length_c 4.7235
_cell_angle_alpha 96.07
_cell_angle_beta 96.07
_cell_angle_gamma 45.72
_space_group_name_H-M_alt 'P 1'
_space_group_IT_number 1
loop_
_space_group_symop_operation_xyz
'x,y,z'
loop_
_atom_site_label
_atom_site_fract_x
_atom_site_fract_y
_atom_site_fract_z
_atom_site_occupancy
Na1 0.0684 0.0684 0.2514 1
Na2 0.9316 0.9316 0.7486 1
Mg1 0.2560 0.2560 0.7706 1
Mg2 0.7440 0.7440 0.2294 1
Pt1 0.3889 0.3889 0.3089 1
Pt2 0.6111 0.6111 0.6911 1
```

Output
The value obtained for the volume is 19.02 Å³/atom. Its formation energy from the elements is -0.382 eV/atom. The polymorph energy (0 for the lowest one) comes out at 75 meV/atom. The total energy comes out at -20.20 eV for the cell shown.

No. 2
Density functional theory data (PBE-GGA) for a geometry-optimized NaMgPt structure.

The structure in CIF format:
```
data_NaMgPt
_cell_length_a 4.7942
_cell_length_b 4.7942
_cell_length_c 5.5858
_cell_angle_alpha 90.25
_cell_angle_beta 90.25
_cell_angle_gamma 59.83
_space_group_name_H-M_alt 'P 1'
_space_group_IT_number 1
loop_
_space_group_symop_operation_xyz
'x,y,z'
loop_
_atom_site_label
_atom_site_fract_x
_atom_site_fract_y
_atom_site_fract_z
_atom_site_occupancy
Na1 0.0000 0.0000 0.0000 1
Na2 0.0000 0.0000 0.5000 1
Mg1 0.3337 0.3337 0.7187 1
Mg2 0.6663 0.6663 0.2813 1
Pt1 0.3323 0.3323 0.2183 1
Pt2 0.6677 0.6677 0.7817 1
```

Output
The value obtained for the volume is 18.50 Å³/atom. Its formation energy from the elements is -0.397 eV/atom. The polymorph energy (0 for the lowest one) comes out at 60 meV/atom. The total energy comes out at -20.29 eV for the cell shown.

No. 3
Density functional theory data (PBE-GGA) for a geometry-optimized Na2MgPt2 structure.

The structure in CIF format:
```
data_Na2MgPt2
_cell_length_a 7.5550
_cell_length_b 7.5550
_cell_length_c 7.5550
_cell_angle_alpha 151.61
_cell_angle_beta 151.61
_cell_angle_gamma 40.59
_space_group_name_H-M_alt 'P 1'
_space_group_IT_number 1
loop_
_space_group_symop_operation_xyz
'x,y,z'
loop_
_atom_site_label
_atom_site_fract_x
_atom_site_fract_y
_atom_site_fract_z
_atom_site_occupancy
Na1 0.2500 0.7500 0.5000 1
Na2 0.7500 0.2500 0.5000 1
Mg1 0.0000 0.0000 0.0000 1
Pt1 0.4068 0.4068 0.0000 1
Pt2 0.5932 0.5932 0.0000 1
```

Output
The value obtained for the volume is 19.46 Å³/atom. Its formation energy from the elements is -0.024 eV/atom. The polymorph energy (0 for the lowest one) comes out at 255 meV/atom. The total energy comes out at -16.43 eV for the cell shown.

No. 4
Density functional theory data (PBE-GGA) for a geometry-optimized NaMgPt4 structure.

The structure in CIF format:
```
data_NaMgPt4
_cell_length_a 5.3320
_cell_length_b 5.3320
_cell_length_c 5.3320
_cell_angle_alpha 60.00
_cell_angle_beta 60.00
_cell_angle_gamma 60.00
_space_group_name_H-M_alt 'P 1'
_space_group_IT_number 1
loop_
_space_group_symop_operation_xyz
'x,y,z'
loop_
_atom_site_label
_atom_site_fract_x
_atom_site_fract_y
_atom_site_fract_z
_atom_site_occupancy
Na1 0.0000 0.0000 0.0000 1
Mg1 0.2500 0.2500 0.2500 1
Pt1 0.1250 0.6250 0.6250 1
Pt2 0.6250 0.1250 0.6250 1
Pt3 0.6250 0.6250 0.1250 1
Pt4 0.6250 0.6250 0.6250 1
```

Output
The value obtained for the volume is 17.87 Å³/atom. Its formation energy from the elements is -0.455 eV/atom. The total energy comes out at -29.81 eV for the cell shown.

No. 5
Density functional theory data (PBE-GGA) for a geometry-optimized RbNa2MgPt structure.

The structure in CIF format:
```
data_RbNa2MgPt
_cell_length_a 5.7308
_cell_length_b 5.7308
_cell_length_c 5.1244
_cell_angle_alpha 90.00
_cell_angle_beta 90.00
_cell_angle_gamma 90.00
_space_group_name_H-M_alt 'P 1'
_space_group_IT_number 1
loop_
_space_group_symop_operation_xyz
'x,y,z'
loop_
_atom_site_label
_atom_site_fract_x
_atom_site_fract_y
_atom_site_fract_z
_atom_site_occupancy
Rb1 0.0000 0.0000 0.0000 1
Na1 0.0000 0.5000 0.5000 1
Na2 0.5000 0.0000 0.5000 1
Mg1 0.5000 0.5000 0.0000 1
Pt1 0.5000 0.5000 0.5000 1
```

Output
The value obtained for the volume is 33.66 Å³/atom. Its formation energy from the elements is -0.094 eV/atom. The total energy comes out at -11.71 eV for the cell shown.

No. 6
Density functional theory data (PBE-GGA) for a geometry-optimized NaMg2SiPt structure.

The structure in CIF format:
```
data_NaMg2SiPt
_cell_length_a 5.1296
_cell_length_b 5.1296
_cell_length_c 4.6002
_cell_angle_alpha 90.00
_cell_angle_beta 90.00
_cell_angle_gamma 90.00
_space_group_name_H-M_alt 'P 1'
_space_group_IT_number 1
loop_
_space_group_symop_operation_xyz
'x,y,z'
loop_
_atom_site_label
_atom_site_fract_x
_atom_site_fract_y
_atom_site_fract_z
_atom_site_occupancy
Na1 0.0000 0.0000 0.0000 1
Mg1 0.0000 0.5000 0.5000 1
Mg2 0.5000 0.0000 0.5000 1
Si1 0.5000 0.5000 0.0000 1
Pt1 0.5000 0.5000 0.5000 1
```

Output
The value obtained for the volume is 24.21 Å³/atom. The total energy comes out at -17.25 eV for the cell shown.

No. 7
Density functional theory data (PBE-GGA) for a geometry-optimized Na2MgSi3Pt4 structure.

The structure in CIF format:
```
data_Na2MgSi3Pt4
_cell_length_a 4.1658
_cell_length_b 4.1658
_cell_length_c 10.2867
_cell_angle_alpha 90.00
_cell_angle_beta 90.00
_cell_angle_gamma 90.00
_space_group_name_H-M_alt 'P 1'
_space_group_IT_number 1
loop_
_space_group_symop_operation_xyz
'x,y,z'
loop_
_atom_site_label
_atom_site_fract_x
_atom_site_fract_y
_atom_site_fract_z
_atom_site_occupancy
Na1 0.0000 0.5000 0.2459 1
Na2 0.5000 0.0000 0.7541 1
Mg1 0.0000 0.0000 0.5000 1
Si1 0.0000 0.5000 0.8735 1
Si2 0.5000 0.0000 0.1265 1
Si3 0.5000 0.5000 0.5000 1
Pt1 0.0000 0.0000 0.0000 1
Pt2 0.0000 0.5000 0.6435 1
Pt3 0.5000 0.0000 0.3565 1
Pt4 0.5000 0.5000 0.0000 1
```

Output
The value obtained for the volume is 17.85 Å³/atom. The total energy comes out at -51.13 eV for the cell shown.

No. 8
Density functional theory data (PBE-GGA) for a geometry-optimized NaSr2MgPt structure.

The structure in CIF format:
```
data_NaSr2MgPt
_cell_length_a 5.9344
_cell_length_b 5.9344
_cell_length_c 5.2219
_cell_angle_alpha 90.00
_cell_angle_beta 90.00
_cell_angle_gamma 90.00
_space_group_name_H-M_alt 'P 1'
_space_group_IT_number 1
loop_
_space_group_symop_operation_xyz
'x,y,z'
loop_
_atom_site_label
_atom_site_fract_x
_atom_site_fract_y
_atom_site_fract_z
_atom_site_occupancy
Na1 0.0000 0.0000 0.0000 1
Sr1 0.0000 0.5000 0.5000 1
Sr2 0.5000 0.0000 0.5000 1
Mg1 0.5000 0.5000 0.0000 1
Pt1 0.5000 0.5000 0.5000 1
```

Output
The value obtained for the volume is 36.78 Å³/atom. Its formation energy from the elements is -0.400 eV/atom. The polymorph energy (0 for the lowest one) comes out at 0 meV/atom. The total energy comes out at -14.32 eV for the cell shown.

No. 9
Density functional theory data (PBE-GGA) for a geometry-optimized NaSr2MgPt structure.

The structure in CIF format:
```
data_NaSr2MgPt
_cell_length_a 5.8516
_cell_length_b 5.8516
_cell_length_c 5.5382
_cell_angle_alpha 90.00
_cell_angle_beta 90.00
_cell_angle_gamma 90.00
_space_group_name_H-M_alt 'P 1'
_space_group_IT_number 1
loop_
_space_group_symop_operation_xyz
'x,y,z'
loop_
_atom_site_label
_atom_site_fract_x
_atom_site_fract_y
_atom_site_fract_z
_atom_site_occupancy
Na1 0.0000 0.0000 0.0000 1
Sr1 0.0000 0.5000 0.5000 1
Sr2 0.5000 0.0000 0.5000 1
Mg1 0.5000 0.5000 0.0000 1
Pt1 0.0000 0.0000 0.5000 1
```

Output
The value obtained for the volume is 37.93 Å³/atom. Its formation energy from the elements is -0.219 eV/atom. The polymorph energy (0 for the lowest one) comes out at 182 meV/atom. The total energy comes out at -13.41 eV for the cell shown.

No. 10
Density functional theory data (PBE-GGA) for a geometry-optimized NaMgTl2Pt structure.

The structure in CIF format:
```
data_NaMgTl2Pt
_cell_length_a 5.3434
_cell_length_b 5.3434
_cell_length_c 5.1194
_cell_angle_alpha 90.00
_cell_angle_beta 90.00
_cell_angle_gamma 90.00
_space_group_name_H-M_alt 'P 1'
_space_group_IT_number 1
loop_
_space_group_symop_operation_xyz
'x,y,z'
loop_
_atom_site_label
_atom_site_fract_x
_atom_site_fract_y
_atom_site_fract_z
_atom_site_occupancy
Na1 0.0000 0.0000 0.0000 1
Mg1 0.5000 0.5000 0.0000 1
Tl1 0.0000 0.5000 0.5000 1
Tl2 0.5000 0.0000 0.5000 1
Pt1 0.5000 0.5000 0.5000 1
```

Output
The value obtained for the volume is 29.23 Å³/atom. Its formation energy from the elements is -0.125 eV/atom. The total energy comes out at -14.31 eV for the cell shown.

No. 11
Density functional theory data (PBE-GGA) for a geometry-optimized NaMgTlPt structure.

The structure in CIF format:
```
data_NaMgTlPt
_cell_length_a 4.8109
_cell_length_b 4.8109
_cell_length_c 4.8109
_cell_angle_alpha 60.00
_cell_angle_beta 60.00
_cell_angle_gamma 60.00
_space_group_name_H-M_alt 'P 1'
_space_group_IT_number 1
loop_
_space_group_symop_operation_xyz
'x,y,z'
loop_
_atom_site_label
_atom_site_fract_x
_atom_site_fract_y
_atom_site_fract_z
_atom_site_occupancy
Na1 0.0000 0.0000 0.0000 1
Mg1 0.2500 0.2500 0.2500 1
Tl1 0.7500 0.7500 0.7500 1
Pt1 0.5000 0.5000 0.5000 1
```

Output
The value obtained for the volume is 19.68 Å³/atom. Its formation energy from the elements is -0.276 eV/atom. The total energy comes out at -12.42 eV for the cell shown.

No. 12
Density functional theory data (PBE-GGA) for a geometry-optimized NaMg2ZnPt structure.

The structure in CIF format:
```
data_NaMg2ZnPt
_cell_length_a 5.0458
_cell_length_b 5.0458
_cell_length_c 4.9346
_cell_angle_alpha 90.00
_cell_angle_beta 90.00
_cell_angle_gamma 90.00
_space_group_name_H-M_alt 'P 1'
_space_group_IT_number 1
loop_
_space_group_symop_operation_xyz
'x,y,z'
loop_
_atom_site_label
_atom_site_fract_x
_atom_site_fract_y
_atom_site_fract_z
_atom_site_occupancy
Na1 0.0000 0.0000 0.0000 1
Mg1 0.0000 0.5000 0.5000 1
Mg2 0.5000 0.0000 0.5000 1
Zn1 0.5000 0.5000 0.0000 1
Pt1 0.5000 0.5000 0.5000 1
```

Output
The value obtained for the volume is 25.13 Å³/atom. Its formation energy from the elements is -0.293 eV/atom. The total energy comes out at -13.29 eV for the cell shown.